[1]
4
Lattice="2.442 1.410 7.134 -2.442 1.410 7.134 0.000 -2.820 7.134" Properties=species:S:1:pos:R:3 comment="SmGe2Bi | Alexandria | PBE | optimized geometry" total_magnetization_mub_per_cell=0.000 ef_kj_per_mol_atoms=25.6 relative_energy_mev_per_atom=610 spacegroup="R-3m (166)" volume_a3_per_fu=147 final_energy_ry_per_atom=-0.3082 pbc="T T T"
Sm 0.000 0.000 0.000
Ge 0.000 0.000 8.027
Ge 0.000 0.000 13.374
Bi 0.000 0.000 10.701



[2]
9
Lattice="7.155 0.000 0.000 -3.577 6.196 0.000 0.000 0.000 6.689" Properties=species:S:1:pos:R:3 comment="Ba2Sn6Bi | Alexandria | PBE | optimized geometry" total_magnetization_mub_per_cell=0.000 ef_kj_per_mol_atoms=-36.3 spacegroup="P-3m1 (164)" volume_a3_per_fu=297 final_energy_ry_per_atom=-0.2869 pbc="T T T"
Ba 0.000 4.131 2.354
Ba 3.577 2.065 4.334
Sn 0.000 2.321 5.649
Sn -1.567 5.036 5.649
Sn 2.010 1.161 1.040
Sn 1.567 5.036 5.649
Sn 5.144 1.161 1.040
Sn 3.577 3.875 1.040
Bi 0.000 0.000 3.344



[3]
3
Lattice="4.820 0.000 0.000 -2.410 4.175 0.000 0.000 0.000 3.509" Properties=species:S:1:pos:R:3 comment="GdPaSi | Alexandria | PBE | optimized geometry" total_magnetization_mub_per_cell=7.645 spacegroup="P3m1 (156)" volume_a3_per_fu=71 final_energy_ry_per_atom=-0.7069 pbc="T T T"
Gd 0.000 0.000 0.000
Pa 0.000 2.783 1.966
Si 2.410 1.392 0.937



[4]
9
Lattice="4.071 -1.862 0.000 4.071 1.862 0.000 -2.251 0.000 7.509" Properties=species:S:1:pos:R:3 comment="MnZn2Cu6 | Alexandria | PBE | optimized geometry" total_magnetization_mub_per_cell=3.725 ef_kj_per_mol_atoms=-0.9 relative_energy_mev_per_atom=0 spacegroup="C2/m (12)" volume_a3_per_fu=114 final_energy_ry_per_atom=-0.2971 pbc="T T T"
Mn 0.000 0.000 0.000
Zn 0.928 0.000 5.798
Zn 4.963 0.000 1.711
Cu -0.724 0.000 2.538
Cu 1.730 0.000 3.331
Cu 2.482 0.000 0.843
Cu 3.410 0.000 6.665
Cu 4.161 0.000 4.178
Cu 6.616 0.000 4.970



[5]
6
Lattice="5.858 0.000 0.000 -2.929 5.073 0.000 0.000 0.000 7.050" Properties=species:S:1:pos:R:3 comment="Ca2Sc | Alexandria | PBE | optimized geometry" total_magnetization_mub_per_cell=1.570 ef_kj_per_mol_atoms=28.4 relative_energy_mev_per_atom=148 spacegroup="P6_3/mmc (194)" volume_a3_per_fu=105 final_energy_ry_per_atom=-0.2316 pbc="T T T"
Ca 0.000 0.000 0.000
Ca 0.000 0.000 3.525
Ca 0.000 3.382 1.762
Ca 2.929 1.691 5.287
Sc 0.000 3.382 5.287
Sc 2.929 1.691 1.762



[6]
9
Lattice="6.677 -3.610 0.000 6.677 3.610 0.000 -0.822 0.000 3.249" Properties=species:S:1:pos:R:3 comment="ThSc2Cu6 | Alexandria | PBE | optimized geometry" total_magnetization_mub_per_cell=0.000 ef_kj_per_mol_atoms=-11.9 spacegroup="C2/m (12)" volume_a3_per_fu=157 final_energy_ry_per_atom=-0.3738 pbc="T T T"
Th 0.000 0.000 0.000
Sc 4.089 0.000 2.815
Sc 8.443 0.000 0.435
Cu 4.019 2.255 1.059
Cu 6.266 1.235 1.625
Cu 8.513 2.255 2.190
Cu 4.019 -2.255 1.059
Cu 6.266 -1.235 1.625
Cu 8.513 -2.255 2.190



[7]
4
Lattice="2.075 1.198 5.250 -2.075 1.198 5.250 0.000 -2.396 5.250" Properties=species:S:1:pos:R:3 comment="CaGa2Ni | Alexandria | PBE | optimized geometry" total_magnetization_mub_per_cell=0.000 ef_kj_per_mol_atoms=-41.0 spacegroup="R-3m (166)" volume_a3_per_fu=78 final_energy_ry_per_atom=-0.2855 pbc="T T T"
Ca 0.000 0.000 0.000
Ga 0.000 0.000 3.226
Ga 0.000 0.000 12.524
Ni 0.000 0.000 7.875



[8]
5
Lattice="4.032 0.000 0.000 0.000 4.032 0.000 0.000 0.000 5.819" Properties=species:S:1:pos:R:3 comment="TaAuIN2 | Alexandria | PBE | optimized geometry" total_magnetization_mub_per_cell=0.000 relative_energy_mev_per_atom=1924 spacegroup="P4/mmm (123)" volume_a3_per_fu=95 final_energy_ry_per_atom=-0.3168 pbc="T T T"
Ta 0.000 0.000 0.000
Au 2.016 2.016 2.910
I 2.016 2.016 0.000
N 0.000 2.016 2.910
N 2.016 0.000 2.910



[9]
4
Lattice="1.299 0.750 8.761 -1.299 0.750 8.761 0.000 -1.500 8.761" Properties=species:S:1:pos:R:3 comment="Li2CoSi | Alexandria | PBE | optimized geometry" total_magnetization_mub_per_cell=1.597 spacegroup="R-3m (166)" volume_a3_per_fu=51 final_energy_ry_per_atom=-0.2945 pbc="T T T"
Li 0.000 0.000 6.569
Li 0.000 0.000 19.716
Co 0.000 0.000 0.000
Si 0.000 0.000 13.142



[10]
4
Lattice="3.823 0.000 0.000 0.000 3.823 0.000 0.000 0.000 6.264" Properties=species:S:1:pos:R:3 comment="TbSbAu2 | Alexandria | PBE | optimized geometry" total_magnetization_mub_per_cell=0.000 spacegroup="P4/mmm (123)" volume_a3_per_fu=92 final_energy_ry_per_atom=-0.3232 pbc="T T T"
Tb 0.000 0.000 0.000
Sb 0.000 0.000 3.132
Au 1.911 1.911 1.507
Au 1.911 1.911 4.758



[11]
4
Lattice="0.000 3.709 3.709 3.709 0.000 3.709 3.709 3.709 0.000" Properties=species:S:1:pos:R:3 comment="KMg2Mo | Alexandria | PBE | optimized geometry" total_magnetization_mub_per_cell=3.246 ef_kj_per_mol_atoms=100.8 relative_energy_mev_per_atom=509 spacegroup="F-43m (216)" volume_a3_per_fu=102 final_energy_ry_per_atom=-0.2010 pbc="T T T"
K 0.000 0.000 0.000
Mg 1.854 1.854 1.854
Mg 3.709 3.709 3.709
Mo 5.563 5.563 5.563



[12]
4
Lattice="2.034 1.175 5.332 -2.034 1.175 5.332 0.000 -2.349 5.332" Properties=species:S:1:pos:R:3 comment="SrCo2Cu | Alexandria | PBE | optimized geometry" total_magnetization_mub_per_cell=2.446 ef_kj_per_mol_atoms=10.0 relative_energy_mev_per_atom=0 spacegroup="R3m (160)" volume_a3_per_fu=76 final_energy_ry_per_atom=-0.3597 pbc="T T T"
Sr 0.000 0.000 0.000
Co 0.000 0.000 3.029
Co 0.000 0.000 8.210
Cu 0.000 0.000 12.931